# 1
A plane-wave DFT calculation with PBE was carried out for a relaxed structure of Tc2SbCl.

abc: 4.7201 3.9882 8.9546
angles: 90.00 98.97 90.00
Atoms (fractional coordinates):
Sb  0.4509  0.5000  0.2947
Sb  0.0327  0.0000  0.6377
Tc  0.9052  0.5000  0.1469
Tc  0.4832  0.0000  0.4944
Tc  0.6194  0.5000  0.6482
Tc  0.9233  0.0000  0.3097
Cl  0.5579  0.5000  0.9025
Cl  0.1036  0.0000  0.0144

Summary:
Total magnetic moment, μB per atom: 0.000
Volume, Å³ per cell: 167
Uncorrected formation energy, kJ/mol of formula units: 22
Energy relative to the lowest polymorph listed for this composition, meV per atom: 148


# 2
A plane-wave DFT calculation with PBE was carried out for a relaxed structure of Na3Bi2Br2O4.

abc: 4.4219 4.4219 12.4255
angles: 100.25 100.25 90.00
Atoms (fractional coordinates):
Na  0.0000  0.0000  0.0000
Na  0.1353  0.1353  0.2706
Na  0.8647  0.8647  0.7294
Bi  0.4279  0.4279  0.8557
Bi  0.5721  0.5721  0.1443
Br  0.3122  0.3122  0.6245
Br  0.6878  0.6878  0.3755
O  0.4286  0.9286  0.8571
O  0.9286  0.4286  0.8571
O  0.0714  0.5714  0.1429
O  0.5714  0.0714  0.1429

Summary:
Total magnetic moment, μB per atom: 0.000
Volume, Å³ per cell: 235
Uncorrected formation energy, kJ/mol of formula units: -1227


# 3
A plane-wave DFT calculation with PBE was carried out for a relaxed structure of DyTm2Co.

abc: 3.6290 6.2253 9.1894
angles: 90.00 90.00 106.95
Atoms (fractional coordinates):
Dy  0.9174  0.8353  0.2500
Dy  0.0826  0.1647  0.7500
Tm  0.3581  0.7168  0.5714
Tm  0.6419  0.2832  0.4286
Tm  0.3581  0.7168  0.9286
Tm  0.6419  0.2832  0.0714
Co  0.7510  0.5019  0.7500
Co  0.2490  0.4981  0.2500

Summary:
Total magnetic moment, μB per atom: 0.000
Volume, Å³ per cell: 199
Energy relative to the lowest polymorph listed for this composition, meV per atom: 26


# 4
A plane-wave DFT calculation with PBE was carried out for a relaxed structure of Ho2PaPb.

abc: 3.4328 3.4328 11.9507
angles: 81.74 81.74 60.00
Atoms (fractional coordinates):
Pb  0.0000  0.0000  0.0000
Pa  0.5000  0.5000  0.5000
Ho  0.0903  0.0903  0.7291
Ho  0.9097  0.9097  0.2709

Summary:
Total magnetic moment, μB per atom: 0.000
Volume, Å³ per cell: 120
Energy relative to the lowest polymorph listed for this composition, meV per atom: 183


# 5
A plane-wave DFT calculation with PBE was carried out for a relaxed structure of ScTi2NbN.

abc: 4.1870 4.1870 4.4671
angles: 90.00 90.00 90.00
Atoms (fractional coordinates):
Sc  0.5000  0.5000  0.5000
Nb  0.0000  0.0000  0.5000
N  0.0000  0.0000  0.0000
Ti  0.0000  0.5000  0.0000
Ti  0.5000  0.0000  0.0000

Summary:
Total magnetic moment, μB per atom: 0.000
Volume, Å³ per cell: 78
Uncorrected formation energy, kJ/mol of formula units: -299
Energy relative to the lowest polymorph listed for this composition, meV per atom: 16


# 6
A plane-wave DFT calculation with PBE was carried out for a relaxed structure of AcPbAu10.

abc: 4.6797 5.7153 9.8483
angles: 90.00 90.00 90.00
Atoms (fractional coordinates):
Ac  0.0000  0.5000  0.5000
Pb  0.0000  0.0000  0.0000
Au  0.0000  0.0000  0.3260
Au  0.0000  0.5000  0.8388
Au  0.0000  0.5000  0.1612
Au  0.0000  0.0000  0.6740
Au  0.5000  0.0000  0.5000
Au  0.5000  0.5000  0.0000
Au  0.5000  0.2555  0.2556
Au  0.5000  0.7445  0.7444
Au  0.5000  0.7445  0.2556
Au  0.5000  0.2555  0.7444

Summary:
Total magnetic moment, μB per atom: 0.000
Volume, Å³ per cell: 263
Energy, eV/cell: -43.7


Q: Which of these has the highest volume?
A: AcPbAu10